Entry from OQMD: a relaxed structure of RbPrB (GGA-PBE).

Unit cell a=7.0125 b=7.0125 c=7.0125 alpha=90.00 beta=90.00 gamma=90.00
Last column: nearest neighbours and their distance in Å.
Space group F-43m (No. 216)
Asymmetric unit:
Rb (0.0000, 0.0000, 0.0000) (multiplicity 4)  4 B 3.04
Pr (0.0000, 0.0000, 0.5000) (multiplicity 4)  4 B 3.04
B (0.2500, 0.2500, 0.7500) (multiplicity 4)  4 Pr 3.04, 4 Rb 3.04

Computed properties:
relative energy among the computed polymorphs: 0.0 kJ/mol of atoms

Entry from OQMD: a relaxed structure of Pr2Re3B6 (GGA-PBE).

Unit cell a=6.8148 b=10.6854 c=7.6260 alpha=90.00 beta=90.97 gamma=90.00
Last column: nearest neighbours and their distance in Å.
Space group C2/c (No. 15)
Asymmetric unit:
Pr (0.2338, 0.1745, 0.1737) (multiplicity 8)  9 B 2.76-3.03
Re (0.0000, 0.0834, 0.7500) (multiplicity 4)  8 B 2.26-2.41
Re (0.1031, 0.4078, 0.4123) (multiplicity 8)  6 B 2.13-2.31
B (0.1046, 0.0458, 0.4666) (multiplicity 8)  3 B 1.81-1.84
B (0.1277, 0.2132, 0.5198) (multiplicity 8)  2 B 1.84-1.87
B (0.1977, 0.4555, 0.1324) (multiplicity 8)  1 B 1.83

Computed properties:
total energy: -8.313 eV per atom

Entry from OQMD: a relaxed structure of PrB4Sb (GGA-PBE).

Unit cell a=3.2606 b=3.2606 c=8.3384 alpha=90.00 beta=90.00 gamma=120.00
Last column: nearest neighbours and their distance in Å.
Space group P6/mmm (No. 191)
Asymmetric unit:
Pr (0.0000, 0.0000, 0.0000) (multiplicity 1)  12 B 2.83
B (0.3333, 0.6667, 0.2531) (multiplicity 4)  3 B 1.88
Sb (0.0000, 0.0000, 0.5000) (multiplicity 1)  12 B 2.79

Computed properties:
relative energy among the computed polymorphs: 13.2 kJ/mol of atoms

Entry from OQMD: a relaxed structure of PrB4Sb (GGA-PBE).

Unit cell a=3.2397 b=5.3217 c=9.0562 alpha=90.00 beta=90.00 gamma=90.00
Last column: nearest neighbours and their distance in Å.
Space group Immm (No. 71)
Asymmetric unit:
Pr (0.0000, 0.0000, 0.0000) (multiplicity 2)  12 B 2.86-2.93, 4 Sb 3.12
B (0.0000, 0.3209, 0.2625) (multiplicity 8)  3 B 1.80-1.91
Sb (0.0000, 0.0000, 0.5000) (multiplicity 2)  12 B 2.75-3.03

Computed properties:
relative energy among the computed polymorphs: 0.0 kJ/mol of atoms

Entry from OQMD: a relaxed structure of PrBSb (GGA-PBE).

Unit cell a=6.5109 b=6.5109 c=6.5109 alpha=90.00 beta=90.00 gamma=90.00
Last column: nearest neighbours and their distance in Å.
Space group F-43m (No. 216)
Asymmetric unit:
Pr (0.0000, 0.0000, 0.0000) (multiplicity 4)  4 B 2.82
B (0.2500, 0.2500, 0.2500) (multiplicity 4)  4 Pr 2.82, 4 Sb 2.82
Sb (0.0000, 0.0000, 0.5000) (multiplicity 4)  4 B 2.82

Computed properties:
relative energy among the computed polymorphs: 0.0 kJ/mol of atoms

Entry from OQMD: a relaxed structure of PrBSb (GGA-PBE).

Unit cell a=6.9839 b=6.9839 c=6.9839 alpha=90.00 beta=90.00 gamma=90.00
Last column: nearest neighbours and their distance in Å.
Space group F-43m (No. 216)
Asymmetric unit:
Pr (0.0000, 0.0000, 0.0000) (multiplicity 4)  4 Sb 3.02, 4 B 3.02
B (0.2500, 0.2500, 0.7500) (multiplicity 4)  4 Pr 3.02
Sb (0.2500, 0.2500, 0.2500) (multiplicity 4)  4 Pr 3.02

Computed properties:
relative energy among the computed polymorphs: 52.0 kJ/mol of atoms

Entry from OQMD: a relaxed structure of PrScB4 (GGA-PBE).

Unit cell a=3.2546 b=5.6563 c=7.8463 alpha=90.00 beta=90.00 gamma=90.00
Last column: nearest neighbours and their distance in Å.
Space group Immm (No. 71)
Asymmetric unit:
Pr (0.0000, 0.0000, 0.0000) (multiplicity 2)  12 B 2.70-2.74
Sc (0.0000, 0.0000, 0.5000) (multiplicity 2)  12 B 2.69-2.75
B (0.0000, 0.3346, 0.2459) (multiplicity 8)  3 B 1.87-1.89

Computed properties:
relative energy among the computed polymorphs: 11.3 kJ/mol of atoms

Entry from OQMD: a relaxed structure of Pr3ScB4 (GGA-PBE).

Unit cell a=5.4424 b=5.4424 c=5.4424 alpha=90.00 beta=90.00 gamma=90.00
Last column: nearest neighbours and their distance in Å.
Space group Pm-3m (No. 221)
Asymmetric unit:
Pr (0.0000, 0.0000, 0.5000) (multiplicity 3)  6 B 2.72
Sc (0.5000, 0.5000, 0.5000) (multiplicity 1)  6 B 2.72
B (0.0000, 0.0000, 0.0000) (multiplicity 1)  6 Pr 2.72
B (0.0000, 0.5000, 0.5000) (multiplicity 3)  2 Sc 2.72, 4 Pr 2.72

Computed properties:
total energy: -5.412 eV per atom

Entry from OQMD: a relaxed structure of PrScB4 (GGA-PBE).

Unit cell a=3.2210 b=3.2210 c=7.8200 alpha=90.00 beta=90.00 gamma=120.00
Last column: nearest neighbours and their distance in Å.
Space group P6/mmm (No. 191)
Asymmetric unit:
Pr (0.0000, 0.0000, 0.0000) (multiplicity 1)  12 B 2.87
Sc (0.0000, 0.0000, 0.5000) (multiplicity 1)  12 B 2.53
B (0.3333, 0.6667, 0.2798) (multiplicity 4)  3 B 1.86

Computed properties:
relative energy among the computed polymorphs: 0.0 kJ/mol of atoms

Entry from OQMD: a relaxed structure of PrScB (GGA-PBE).

Unit cell a=6.3576 b=6.3576 c=6.3576 alpha=90.00 beta=90.00 gamma=90.00
Last column: nearest neighbours and their distance in Å.
Space group F-43m (No. 216)
Asymmetric unit:
Pr (0.0000, 0.0000, 0.0000) (multiplicity 4)  4 B 2.75
Sc (0.0000, 0.0000, 0.5000) (multiplicity 4)  4 B 2.75
B (0.2500, 0.2500, 0.2500) (multiplicity 4)  4 Pr 2.75, 4 Sc 2.75

Computed properties:
relative energy among the computed polymorphs: 0.0 kJ/mol of atoms

Entry from OQMD: a relaxed structure of Pr6Si2B (GGA-PBE).

Unit cell a=8.0839 b=8.0839 c=4.1781 alpha=90.00 beta=90.00 gamma=120.00
Last column: nearest neighbours and their distance in Å.
Space group P-62m (No. 189)
Asymmetric unit:
Pr (0.0000, 0.2376, 0.0000) (multiplicity 3)  2 B 2.84, 2 Si 3.15
Pr (0.0000, 0.5769, 0.5000) (multiplicity 3)  4 Si 3.19, 1 B 3.42, 2 Pr 3.45
Si (0.3333, 0.6667, 0.0000) (multiplicity 2)  9 Pr 3.15-3.19
B (0.0000, 0.0000, 0.5000) (multiplicity 1)  6 Pr 2.84

Computed properties:
total energy: -5.397 eV per atom

Entry from OQMD: a relaxed structure of PrSmB4 (GGA-PBE).

Unit cell a=3.3333 b=3.3333 c=8.2074 alpha=90.00 beta=90.00 gamma=120.00
Last column: nearest neighbours and their distance in Å.
Space group P6/mmm (No. 191)
Asymmetric unit:
Pr (0.0000, 0.0000, 0.0000) (multiplicity 1)  12 B 2.85
Sm (0.0000, 0.0000, 0.5000) (multiplicity 1)  12 B 2.77
B (0.3333, 0.6667, 0.2568) (multiplicity 4)  3 B 1.92

Computed properties:
relative energy among the computed polymorphs: 0.0 kJ/mol of atoms